Entry 1:
Compound: CeInHg
Source: Alexandria via LeMat-Bulk
Functional: PBE
Structure: optimized geometry

Lattice parameters (Å, degrees): 3.589 5.033 5.033 120.00 90.00 90.00
Fractional positions:
Hg  0.166  0.333  0.667
Ce  0.667  0.667  0.333
In  0.167  0.000  0.000

Output
The value obtained for the total energy is -3.3500 eV per atom. As for the volume: 78.7 Å³ per cell. As for the magnetic moment: 1.2 μB per formula unit.


Entry 2:
Compound: CeIn3Hg3
Source: Alexandria via LeMat-Bulk
Functional: PBE
Structure: optimized geometry

Lattice parameters (Å, degrees): 5.374 8.909 8.909 120.00 90.00 90.00
Fractional positions:
Ce  0.250  0.667  0.333
Ce  0.750  0.333  0.667
In  0.250  0.801  0.764
In  0.250  0.236  0.037
In  0.250  0.963  0.199
In  0.750  0.199  0.236
In  0.750  0.764  0.963
In  0.750  0.037  0.801
Hg  0.750  0.623  0.526
Hg  0.750  0.474  0.097
Hg  0.750  0.903  0.377
Hg  0.250  0.377  0.474
Hg  0.250  0.526  0.903
Hg  0.250  0.097  0.623

Output
The value obtained for the total energy is -2.2788 eV per atom. As for the volume: 369.4 Å³ per cell. As for the magnetic moment: 1.1 μB per formula unit. For the energy above the lowest structure with this stoichiometry, the calculation gives 2.7 meV/atom.


Entry 3:
Compound: Ce2InHg
Source: Alexandria via LeMat-Bulk
Functional: PBE
Structure: optimized geometry

Lattice parameters (Å, degrees): 3.254 3.254 11.406 81.80 81.80 60.00
Fractional positions:
Hg  0.000  0.000  0.000
Ce  0.251  0.251  0.247
Ce  0.749  0.749  0.753
In  0.500  0.500  0.500

Output
The value obtained for the total energy is -3.9005 eV per atom. As for the volume: 103.2 Å³ per cell. As for the magnetic moment: 0.0 μB per formula unit.


Entry 4:
Compound: CeInHg2
Source: Alexandria via LeMat-Bulk
Functional: PBE
Structure: optimized geometry

Lattice parameters (Å, degrees): 4.642 4.743 4.743 90.00 90.00 90.00
Fractional positions:
Hg  0.000  0.000  0.500
Hg  0.000  0.500  0.000
Ce  0.500  0.500  0.500
In  0.500  0.000  0.000

Output
The value obtained for the total energy is -2.6002 eV per atom. As for the volume: 104.4 Å³ per cell. As for the magnetic moment: 1.1 μB per formula unit.


Entry 5:
Compound: CeIn2Hg4
Source: Alexandria via LeMat-Bulk
Functional: PBE
Structure: optimized geometry

Lattice parameters (Å, degrees): 5.090 5.090 8.843 73.27 73.27 60.00
Fractional positions:
Ce  0.000  0.000  0.000
In  0.745  0.745  0.765
In  0.255  0.255  0.235
Hg  0.863  0.863  0.410
Hg  0.137  0.137  0.590
Hg  0.610  0.610  0.170
Hg  0.390  0.390  0.830

Output
The value obtained for the total energy is -2.0062 eV per atom. As for the volume: 187.2 Å³ per cell. As for the magnetic moment: 0.9 μB per formula unit. For the energy above the lowest structure with this stoichiometry, the calculation gives 10.4 meV/atom.


Entry 6:
Compound: Ce7InHg5
Source: Alexandria via LeMat-Bulk
Functional: PBE
Structure: optimized geometry

Lattice parameters (Å, degrees): 6.073 8.290 8.290 77.98 68.51 68.51
Fractional positions:
Ce  0.598  0.402  0.402
Ce  0.364  0.636  0.636
Ce  0.993  0.340  0.674
Ce  0.993  0.674  0.340
Ce  0.323  0.177  0.177
Ce  0.506  0.824  0.164
Ce  0.506  0.164  0.824
In  0.991  0.009  0.009
Hg  0.495  0.012  0.500
Hg  0.993  0.012  0.500
Hg  0.495  0.500  0.012
Hg  0.993  0.500  0.012
Hg  0.749  0.751  0.751

Output
The value obtained for the total energy is -3.6896 eV per atom. As for the volume: 360.0 Å³ per cell. As for the magnetic moment: 4.8 μB per formula unit.


Entry 7:
Compound: Ce2In4Hg
Source: Alexandria via LeMat-Bulk
Functional: PBE
Structure: optimized geometry

Lattice parameters (Å, degrees): 10.567 6.279 6.723 117.84 90.00 90.00
Fractional positions:
Hg  0.000  0.000  0.000
Hg  0.500  0.500  0.000
Ce  0.000  0.615  0.230
Ce  0.000  0.385  0.770
Ce  0.500  0.885  0.770
Ce  0.500  0.115  0.230
In  0.750  0.750  0.000
In  0.750  0.501  0.500
In  0.750  0.001  0.500
In  0.750  0.250  0.000
In  0.250  0.750  0.000
In  0.250  0.999  0.500
In  0.250  0.499  0.500
In  0.250  0.250  0.000

Output
The value obtained for the total energy is -3.4675 eV per atom. As for the volume: 394.4 Å³ per cell. As for the magnetic moment: 1.6 μB per formula unit.


Entry 8:
Compound: CeIn3Hg3
Source: Alexandria via LeMat-Bulk
Functional: PBE
Structure: optimized geometry

Lattice parameters (Å, degrees): 7.463 7.463 6.832 86.25 86.25 94.11
Fractional positions:
Ce  0.289  0.289  0.972
Ce  0.711  0.711  0.028
In  0.225  0.225  0.482
In  0.359  0.641  0.500
In  0.641  0.359  0.500
In  0.260  0.740  0.000
In  0.740  0.260  0.000
In  0.775  0.775  0.518
Hg  0.002  0.002  0.776
Hg  0.478  0.997  0.265
Hg  0.997  0.478  0.265
Hg  0.522  0.003  0.735
Hg  0.003  0.522  0.735
Hg  0.998  0.998  0.224

Output
The value obtained for the total energy is -2.2815 eV per atom. As for the volume: 377.8 Å³ per cell. As for the magnetic moment: 1.1 μB per formula unit. For the energy above the lowest structure with this stoichiometry, the calculation gives 0.0 meV/atom.


Entry 9:
Compound: CeIn6Hg
Source: Alexandria via LeMat-Bulk
Functional: PBE
Structure: optimized geometry

Lattice parameters (Å, degrees): 4.953 6.778 6.778 69.16 90.00 90.00
Fractional positions:
Ce  0.500  0.000  0.000
In  0.000  0.709  0.291
In  0.000  0.291  0.709
In  0.000  0.787  0.787
In  0.000  0.213  0.213
In  0.500  0.500  0.000
In  0.500  0.000  0.500
Hg  0.500  0.500  0.500

Output
The value obtained for the total energy is -2.9687 eV per atom. As for the volume: 212.7 Å³ per cell. As for the magnetic moment: 1.1 μB per formula unit.


Entry 10:
Compound: CeInHg3
Source: Alexandria via LeMat-Bulk
Functional: PBE
Structure: optimized geometry

Lattice parameters (Å, degrees): 7.444 7.444 7.444 106.25 134.88 90.84
Fractional positions:
Ce  0.009  0.759  0.750
Ce  0.991  0.241  0.250
In  0.500  0.500  0.000
In  0.500  0.000  0.500
Hg  0.500  0.325  0.325
Hg  0.000  0.675  0.175
Hg  0.500  0.675  0.675
Hg  0.000  0.325  0.825
Hg  0.683  0.933  0.250
Hg  0.317  0.067  0.750

Output
The value obtained for the total energy is -2.0623 eV per atom. As for the volume: 266.7 Å³ per cell. As for the magnetic moment: 1.0 μB per formula unit.


Entry 11:
Compound: Ce4In2Hg3
Source: Alexandria via LeMat-Bulk
Functional: PBE
Structure: optimized geometry

Lattice parameters (Å, degrees): 4.932 5.885 9.661 71.17 90.02 65.22
Fractional positions:
Ce  0.668  0.663  0.904
Ce  0.025  0.949  0.357
Ce  0.975  0.051  0.643
Ce  0.332  0.337  0.096
In  0.313  0.374  0.749
In  0.687  0.626  0.251
Hg  0.345  0.311  0.432
Hg  0.000  0.000  0.000
Hg  0.655  0.689  0.568

Output
The value obtained for the total energy is -3.6482 eV per atom. As for the volume: 237.9 Å³ per cell. As for the magnetic moment: 4.7 μB per formula unit.


Entry 12:
Compound: Ce5In2Hg2
Source: Alexandria via LeMat-Bulk
Functional: PBE
Structure: optimized geometry

Lattice parameters (Å, degrees): 9.830 5.973 10.344 106.78 118.37 90.00
Fractional positions:
Ce  0.174  0.650  0.840
Ce  0.826  0.810  0.160
Ce  0.165  0.150  0.840
Ce  0.835  0.310  0.160
Ce  0.322  0.155  0.343
Ce  0.678  0.813  0.657
Ce  0.521  0.655  0.343
Ce  0.479  0.313  0.657
Ce  0.231  0.735  0.500
Ce  0.769  0.235  0.500
In  0.148  0.556  0.144
In  0.852  0.412  0.856
In  0.496  0.056  0.144
In  0.504  0.912  0.856
Hg  0.000  0.973  0.000
Hg  0.500  0.473  0.000
Hg  0.093  0.232  0.500
Hg  0.907  0.732  0.500

Output
The value obtained for the total energy is -4.1660 eV per atom. As for the volume: 504.8 Å³ per cell. As for the magnetic moment: 4.9 μB per formula unit.